# PBE Ce2AlGa12, optimized geometry
# * SG: P4/nbm, No. 125
# * ρ: 6.3 Mg/m³
# * density of states at the Fermi level: 27.918 states/eV/cell
# * formation energy from the elements: -0.277 eV/atom
data_Ce2AlGa12
_chemical_formula_sum 'Ce4 Al2 Ga24'
_space_group_name_H-M_alt 'P 1'
_space_group_IT_number 1
_cell_length_a 6.3397
_cell_length_b 6.3397
_cell_length_c 14.9884
_cell_angle_alpha 90.00
_cell_angle_beta 90.00
_cell_angle_gamma 90.00
loop_
_space_group_symop_operation_xyz
'x,y,z'
loop_
_atom_site_label
_atom_site_fract_x
_atom_site_fract_y
_atom_site_fract_z
_atom_site_occupancy
Ce1 0.2500 0.7500 0.2407 1
Ce2 0.2500 0.7500 0.7593 1
Ce3 0.7500 0.2500 0.2407 1
Ce4 0.7500 0.2500 0.7593 1
Al1 0.2500 0.7500 0.0000 1
Al2 0.7500 0.2500 0.0000 1
Ga1 0.0003 0.9997 0.0902 1
Ga2 0.9997 0.0003 0.9098 1
Ga3 0.9997 0.4997 0.0902 1
Ga4 0.0003 0.5003 0.9098 1
Ga5 0.0788 0.5788 0.4275 1
Ga6 0.0788 0.9212 0.5725 1
Ga7 0.2500 0.2500 0.1809 1
Ga8 0.2500 0.2500 0.3442 1
Ga9 0.2500 0.2500 0.6558 1
Ga10 0.2500 0.2500 0.8191 1
Ga11 0.4212 0.5788 0.5725 1
Ga12 0.4212 0.9212 0.4275 1
Ga13 0.5003 0.0003 0.0902 1
Ga14 0.4997 0.9997 0.9098 1
Ga15 0.4997 0.5003 0.0902 1
Ga16 0.5003 0.4997 0.9098 1
Ga17 0.5788 0.0788 0.5725 1
Ga18 0.5788 0.4212 0.4275 1
Ga19 0.7500 0.7500 0.1809 1
Ga20 0.7500 0.7500 0.3442 1
Ga21 0.7500 0.7500 0.6558 1
Ga22 0.7500 0.7500 0.8191 1
Ga23 0.9212 0.0788 0.4275 1
Ga24 0.9212 0.4212 0.5725 1

---

# PBE Ce2AlGa7, optimized geometry
# * SG: P-4m2, No. 115
# * ρ: 6.6 Mg/m³
# * density of states at the Fermi level: 15.330 states/eV/cell
# * formation energy from the elements: -0.400 eV/atom
data_Ce2AlGa7
_chemical_formula_sum 'Ce2 Al1 Ga7'
_space_group_name_H-M_alt 'P 1'
_space_group_IT_number 1
_cell_length_a 4.2534
_cell_length_b 4.2534
_cell_length_c 11.0278
_cell_angle_alpha 90.00
_cell_angle_beta 90.00
_cell_angle_gamma 90.00
loop_
_space_group_symop_operation_xyz
'x,y,z'
loop_
_atom_site_label
_atom_site_fract_x
_atom_site_fract_y
_atom_site_fract_z
_atom_site_occupancy
Ce1 0.0000 0.5000 0.2495 1
Ce2 0.5000 0.0000 0.7505 1
Al1 0.0000 0.0000 0.5000 1
Ga1 0.0000 0.0000 0.0000 1
Ga2 0.0000 0.5000 0.6378 1
Ga3 0.0000 0.5000 0.8633 1
Ga4 0.5000 0.0000 0.1367 1
Ga5 0.5000 0.0000 0.3622 1
Ga6 0.5000 0.5000 0.0000 1
Ga7 0.5000 0.5000 0.5000 1

---

# PBE Ce4AlGa3, optimized geometry
# * energy above the lowest structure with this stoichiometry: 15 meV/atom
# * SG: Pmmm, No. 47
# * ρ: 7.0 Mg/m³
# * density of states at the Fermi level: 17.100 states/eV/cell
# * formation energy from the elements: -0.391 eV/atom
data_Ce4AlGa3
_chemical_formula_sum 'Ce4 Al1 Ga3'
_space_group_name_H-M_alt 'P 1'
_space_group_IT_number 1
_cell_length_a 3.0951
_cell_length_b 5.5456
_cell_length_c 11.0885
_cell_angle_alpha 90.00
_cell_angle_beta 90.00
_cell_angle_gamma 90.00
loop_
_space_group_symop_operation_xyz
'x,y,z'
loop_
_atom_site_label
_atom_site_fract_x
_atom_site_fract_y
_atom_site_fract_z
_atom_site_occupancy
Ce1 0.0000 0.0000 0.0000 1
Ce2 0.0000 0.0000 0.5000 1
Ce3 0.0000 0.5000 0.2470 1
Ce4 0.0000 0.5000 0.7530 1
Al1 0.5000 0.5000 0.5000 1
Ga1 0.5000 0.0000 0.2504 1
Ga2 0.5000 0.0000 0.7496 1
Ga3 0.5000 0.5000 0.0000 1

---

# PBE Ce15AlGa4, optimized geometry
# * SG: P4/mmm, No. 123
# * ρ: 8.0 Mg/m³
# * density of states at the Fermi level: 57.238 states/eV/cell
# * formation energy from the elements: -0.228 eV/atom
data_Ce15AlGa4
_chemical_formula_sum 'Ce15 Al1 Ga4'
_space_group_name_H-M_alt 'P 1'
_space_group_IT_number 1
_cell_length_a 4.6502
_cell_length_b 4.6502
_cell_length_c 23.1910
_cell_angle_alpha 90.00
_cell_angle_beta 90.00
_cell_angle_gamma 90.00
loop_
_space_group_symop_operation_xyz
'x,y,z'
loop_
_atom_site_label
_atom_site_fract_x
_atom_site_fract_y
_atom_site_fract_z
_atom_site_occupancy
Ce1 0.0000 0.0000 0.0000 1
Ce2 0.0000 0.0000 0.2001 1
Ce3 0.0000 0.0000 0.4001 1
Ce4 0.0000 0.0000 0.5999 1
Ce5 0.0000 0.0000 0.7999 1
Ce6 0.0000 0.5000 0.1005 1
Ce7 0.0000 0.5000 0.3000 1
Ce8 0.0000 0.5000 0.5000 1
Ce9 0.0000 0.5000 0.7000 1
Ce10 0.0000 0.5000 0.8995 1
Ce11 0.5000 0.0000 0.1005 1
Ce12 0.5000 0.0000 0.3000 1
Ce13 0.5000 0.0000 0.5000 1
Ce14 0.5000 0.0000 0.7000 1
Ce15 0.5000 0.0000 0.8995 1
Al1 0.5000 0.5000 0.0000 1
Ga1 0.5000 0.5000 0.2001 1
Ga2 0.5000 0.5000 0.4001 1
Ga3 0.5000 0.5000 0.5999 1
Ga4 0.5000 0.5000 0.7999 1

---

# PBE CeAl2Ga, optimized geometry
# * SG: R-3m, No. 166
# * ρ: 5.1 Mg/m³
# * density of states at the Fermi level: 6.266 states/eV/cell
# * formation energy from the elements: -0.251 eV/atom
data_CeAl2Ga
_chemical_formula_sum 'Ce1 Al2 Ga1'
_space_group_name_H-M_alt 'P 1'
_space_group_IT_number 1
_cell_length_a 5.8120
_cell_length_b 5.8120
_cell_length_c 5.8120
_cell_angle_alpha 44.05
_cell_angle_beta 44.05
_cell_angle_gamma 44.05
loop_
_space_group_symop_operation_xyz
'x,y,z'
loop_
_atom_site_label
_atom_site_fract_x
_atom_site_fract_y
_atom_site_fract_z
_atom_site_occupancy
Ce1 0.0000 0.0000 0.0000 1
Al1 0.2138 0.2138 0.2138 1
Al2 0.7862 0.7862 0.7862 1
Ga1 0.5000 0.5000 0.5000 1

---

# PBE Ce8AlGa6, optimized geometry
# * SG: R-3, No. 148
# * ρ: 7.0 Mg/m³
# * density of states at the Fermi level: 36.187 states/eV/cell
# * formation energy from the elements: -0.222 eV/atom
data_Ce8AlGa6
_chemical_formula_sum 'Ce8 Al1 Ga6'
_space_group_name_H-M_alt 'P 1'
_space_group_IT_number 1
_cell_length_a 7.8039
_cell_length_b 7.8039
_cell_length_c 7.8039
_cell_angle_alpha 64.48
_cell_angle_beta 64.48
_cell_angle_gamma 64.48
loop_
_space_group_symop_operation_xyz
'x,y,z'
loop_
_atom_site_label
_atom_site_fract_x
_atom_site_fract_y
_atom_site_fract_z
_atom_site_occupancy
Ce1 0.0452 0.7262 0.3456 1
Ce2 0.1659 0.1659 0.1659 1
Ce3 0.2738 0.6544 0.9548 1
Ce4 0.3456 0.0452 0.7262 1
Ce5 0.6544 0.9548 0.2738 1
Ce6 0.7262 0.3456 0.0452 1
Ce7 0.8341 0.8341 0.8341 1
Ce8 0.9548 0.2738 0.6544 1
Al1 0.5000 0.5000 0.5000 1
Ga1 0.1477 0.4680 0.7541 1
Ga2 0.2459 0.8523 0.5320 1
Ga3 0.4680 0.7541 0.1477 1
Ga4 0.5320 0.2459 0.8523 1
Ga5 0.7541 0.1477 0.4680 1
Ga6 0.8523 0.5320 0.2459 1

---

Question: Which value of formation energy from the elements does entry 6 give?
Answer: -0.222 eV/atom

---

What did the fourth record say?
# PBE Ce15AlGa4, optimized geometry
# * SG: P4/mmm, No. 123
# * ρ: 8.0 Mg/m³
# * density of states at the Fermi level: 57.238 states/eV/cell
# * formation energy from the elements: -0.228 eV/atom
data_Ce15AlGa4
_chemical_formula_sum 'Ce15 Al1 Ga4'
_space_group_name_H-M_alt 'P 1'
_space_group_IT_number 1
_cell_length_a 4.6502
_cell_length_b 4.6502
_cell_length_c 23.1910
_cell_angle_alpha 90.00
_cell_angle_beta 90.00
_cell_angle_gamma 90.00
loop_
_space_group_symop_operation_xyz
'x,y,z'
loop_
_atom_site_label
_atom_site_fract_x
_atom_site_fract_y
_atom_site_fract_z
_atom_site_occupancy
Ce1 0.0000 0.0000 0.0000 1
Ce2 0.0000 0.0000 0.2001 1
Ce3 0.0000 0.0000 0.4001 1
Ce4 0.0000 0.0000 0.5999 1
Ce5 0.0000 0.0000 0.7999 1
Ce6 0.0000 0.5000 0.1005 1
Ce7 0.0000 0.5000 0.3000 1
Ce8 0.0000 0.5000 0.5000 1
Ce9 0.0000 0.5000 0.7000 1
Ce10 0.0000 0.5000 0.8995 1
Ce11 0.5000 0.0000 0.1005 1
Ce12 0.5000 0.0000 0.3000 1
Ce13 0.5000 0.0000 0.5000 1
Ce14 0.5000 0.0000 0.7000 1
Ce15 0.5000 0.0000 0.8995 1
Al1 0.5000 0.5000 0.0000 1
Ga1 0.5000 0.5000 0.2001 1
Ga2 0.5000 0.5000 0.4001 1
Ga3 0.5000 0.5000 0.5999 1
Ga4 0.5000 0.5000 0.7999 1

---

Question: Among the records above, which one has the lowest formation energy from the elements?
Answer: Ce2AlGa7